Record 1
Here is a geometry-optimized Sm6As3P2Pb structure from Alexandria. Energies are from PBE.

Cell and atoms, written as POSCAR:
```
Sm6As3P2Pb
1.0
9.152 -2.100 0.000
9.152 2.100 0.000
-1.789 0.000 8.346
Sm As P Pb
6 3 2 1
Direct
0.005 0.005 0.271
0.325 0.325 0.902
0.331 0.331 0.419
0.669 0.669 0.581
0.675 0.675 0.098
0.995 0.995 0.729
0.164 0.164 0.835
0.500 0.500 0.500
0.836 0.836 0.165
0.169 0.169 0.338
0.831 0.831 0.662
0.500 0.500 0.000
```

Space-group type   C2/m (12)
Total moment   0.000 μB per cell
N(E_F)   3.6 states/eV/f.u.
Formation enthalpy at 0 K   -1.3185 eV per atom
Electronic total energy   -6.0512 eV per atom

Record 2
Here is a geometry-optimized Tb6As3P2Pb structure from Alexandria. Energies are from PBE.

Cell and atoms, written as POSCAR:
```
Tb6As3P2Pb
1.0
8.988 -2.060 0.000
8.988 2.060 0.000
-1.740 0.000 8.207
Tb As P Pb
6 3 2 1
Direct
0.006 0.006 0.272
0.325 0.325 0.901
0.331 0.331 0.419
0.669 0.669 0.581
0.675 0.675 0.099
0.994 0.994 0.728
0.163 0.163 0.835
0.500 0.500 0.500
0.837 0.837 0.165
0.169 0.169 0.339
0.831 0.831 0.661
0.500 0.500 0.000
```

Space-group type   C2/m (12)
Total moment   0.000 μB per cell
N(E_F)   3.3 states/eV/f.u.
Formation enthalpy at 0 K   -1.3288 eV per atom
Electronic total energy   -6.0170 eV per atom

Record 3
Here is a geometry-optimized Th6As2P3Pb structure from Alexandria. Energies are from PBE.

Cell and atoms, written as POSCAR:
```
Th6As2P3Pb
1.0
9.291 -2.116 0.000
9.291 2.116 0.000
-2.055 0.000 8.303
Th As P Pb
6 2 3 1
Direct
0.002 0.002 0.228
0.325 0.325 0.423
0.336 0.336 0.911
0.664 0.664 0.089
0.675 0.675 0.577
0.998 0.998 0.772
0.168 0.168 0.833
0.832 0.832 0.167
0.165 0.165 0.329
0.500 0.500 0.000
0.835 0.835 0.671
0.500 0.500 0.500
```

Space-group type   C2/m (12)
Total moment   0.000 μB per cell
N(E_F)   5.9 states/eV/f.u.
Formation enthalpy at 0 K   -1.2497 eV per atom
Electronic total energy   -7.3960 eV per atom